1.
Compound: PdRh2N2
Source: Alexandria
Functional: GGA-PBE
Structure: optimized geometry

Computed properties:
As for the energy above the most stable polymorph in this dataset: 0.000 eV/atom. Its formation energy (no corrections) is 732 meV/atom. As for the space group: I4/mmm, No. 139.

POSCAR file:
```
PdRh2N2
1.0
3.352 0.000 0.000
0.000 3.352 0.000
1.676 1.676 5.472
N Rh Pd
2 2 1
direct
0.250 0.750 0.500 N
0.750 0.250 0.500 N
0.358 0.358 0.284 Rh
0.642 0.642 0.716 Rh
0.000 0.000 0.000 Pd
```

---

2.
Compound: CeTi
Source: Alexandria
Functional: GGA-PBE
Structure: optimized geometry

Computed properties:
As for the energy above the most stable polymorph in this dataset: 0.037 eV/atom. The value obtained for the formation energy is 0.2970 eV per atom. As for the space group: Pm-3m, No. 221.

POSCAR file:
```
CeTi
1.0
-1.948 -2.292 -1.937
2.083 0.630 -2.840
2.160 -2.674 0.991
Ce Ti
1 1
direct
0.000 0.000 0.000 Ce
0.500 0.500 0.500 Ti
```

---

3.
Compound: LaMg3H
Source: Alexandria
Functional: GGA-PBE
Structure: optimized geometry

Computed properties:
The energy comes out at -2.493 eV/atom. As for the space group: Pm-3m, No. 221.

POSCAR file:
```
LaMg3H
1.0
-2.568 -1.664 3.736
-2.695 -2.629 -3.024
3.076 -3.693 0.470
Mg H La
3 1 1
direct
0.500 0.000 0.000 Mg
0.000 0.500 0.000 Mg
0.000 0.000 0.500 Mg
0.000 0.000 0.000 H
0.500 0.500 0.500 La
```

---

The records above give, respectively, total moment values of 0.000 0.487 0.000 μB per atom.
The records above give, respectively, volume values of 61 46 113 Å³/cell.
The records above give, respectively, mass density values of 9.2 6.8 3.1 g/cm³.